1.
Material: TiInTe2I
Method: DFT, PBE
State: optimized geometry

Structure (POSCAR):
```
TiInTe2I
1.0
5.6654 0.0000 0.0000
0.0000 5.6654 0.0000
0.0000 0.0000 5.8137
Ti In Te I
1 1 2 1
Cartesian
0.0000 0.0000 0.0000
2.8327 2.8327 2.9069
0.0000 2.8327 2.9069
2.8327 0.0000 2.9069
2.8327 2.8327 0.0000
```

Summary:
The excess energy over the best structure of this formula in the dataset comes out at 868 meV/atom. The symmetry is P4/mmm, No. 123.

=====

2.
Material: TiInTe2I
Method: DFT, PBE
State: optimized geometry

Structure (POSCAR):
```
TiInTe2I
1.0
5.3581 0.0000 0.0000
0.0000 5.3581 0.0000
0.0000 0.0000 5.8161
Ti In Te I
1 1 2 1
Cartesian
0.0000 0.0000 0.0000
2.6791 2.6791 2.9081
0.0000 2.6791 0.0000
2.6791 0.0000 0.0000
0.0000 0.0000 2.9081
```

Summary:
The excess energy over the best structure of this formula in the dataset comes out at 0 meV/atom. The symmetry is P4/mmm, No. 123.

=====

3.
Material: TlInTe2I
Method: DFT, PBE
State: optimized geometry

Structure (POSCAR):
```
TlInTe2I
1.0
5.8062 0.0000 0.0000
0.0000 5.8062 0.0000
0.0000 0.0000 6.2753
Tl In Te I
1 1 2 1
Cartesian
0.0000 0.0000 0.0000
2.9031 2.9031 3.1376
0.0000 2.9031 0.0000
2.9031 0.0000 0.0000
0.0000 0.0000 3.1376
```

Summary:
The excess energy over the best structure of this formula in the dataset comes out at 236 meV/atom. The symmetry is P4/mmm, No. 123.

=====

4.
Material: TlInTeI2
Method: DFT, PBE
State: optimized geometry

Structure (POSCAR):
```
TlInTeI2
1.0
6.0327 0.0000 0.0000
0.0000 6.0327 0.0000
0.0000 0.0000 5.7342
Tl In Te I
1 1 1 2
Cartesian
0.0000 0.0000 0.0000
3.0164 3.0164 2.8671
3.0164 3.0164 0.0000
0.0000 3.0164 2.8671
3.0164 0.0000 2.8671
```

Summary:
The excess energy over the best structure of this formula in the dataset comes out at 0 meV/atom. The symmetry is P4/mmm, No. 123.

=====

5.
Material: TlInTe2I
Method: DFT, PBE
State: optimized geometry

Structure (POSCAR):
```
TlInTe2I
1.0
5.7209 0.0000 0.0000
0.0000 5.7209 0.0000
0.0000 0.0000 6.1068
Tl In Te I
1 1 2 1
Cartesian
0.0000 0.0000 0.0000
2.8604 2.8604 3.0534
0.0000 2.8604 3.0534
2.8604 0.0000 3.0534
2.8604 2.8604 0.0000
```

Summary:
The excess energy over the best structure of this formula in the dataset comes out at 0 meV/atom. The symmetry is P4/mmm, No. 123.

=====

6.
Material: VInTeI2
Method: DFT, PBE
State: optimized geometry

Structure (POSCAR):
```
VInTeI2
1.0
5.8247 0.0000 0.0000
0.0000 5.8247 0.0000
0.0000 0.0000 5.8344
V In Te I
1 1 1 2
Cartesian
0.0000 0.0000 0.0000
2.9124 2.9124 2.9172
2.9124 2.9124 0.0000
0.0000 2.9124 2.9172
2.9124 0.0000 2.9172
```

Summary:
The excess energy over the best structure of this formula in the dataset comes out at 576 meV/atom. The symmetry is P4/mmm, No. 123.

=====

7.
Material: VInTeI2
Method: DFT, PBE
State: optimized geometry

Structure (POSCAR):
```
VInTeI2
1.0
5.7139 0.0000 0.0000
0.0000 5.7139 0.0000
0.0000 0.0000 5.3178
V In Te I
1 1 1 2
Cartesian
0.0000 0.0000 0.0000
2.8570 2.8570 2.6589
0.0000 0.0000 2.6589
0.0000 2.8570 0.0000
2.8570 0.0000 0.0000
```

Summary:
The excess energy over the best structure of this formula in the dataset comes out at 0 meV/atom. The symmetry is P4/mmm, No. 123.

=====

8.
Material: InTe2WI
Method: DFT, PBE
State: optimized geometry

Structure (POSCAR):
```
InTe2WI
1.0
5.7117 0.0000 0.0000
0.0000 5.7117 0.0000
0.0000 0.0000 5.6044
In Te W I
1 2 1 1
Cartesian
0.0000 0.0000 0.0000
0.0000 2.8559 0.0000
2.8559 0.0000 0.0000
2.8559 2.8559 2.8022
0.0000 0.0000 2.8022
```

Summary:
The excess energy over the best structure of this formula in the dataset comes out at 1052 meV/atom. The symmetry is P4/mmm, No. 123.

=====

9.
Material: InTe2WI
Method: DFT, PBE
State: optimized geometry

Structure (POSCAR):
```
InTe2WI
1.0
5.2894 0.0000 0.0000
0.0000 5.2894 0.0000
0.0000 0.0000 5.9504
In Te W I
1 2 1 1
Cartesian
0.0000 0.0000 0.0000
0.0000 2.6447 2.9752
2.6447 0.0000 2.9752
2.6447 2.6447 2.9752
2.6447 2.6447 0.0000
```

Summary:
The excess energy over the best structure of this formula in the dataset comes out at 0 meV/atom. The symmetry is P4/mmm, No. 123.

=====

10.
Material: YInTeI2
Method: DFT, PBE
State: optimized geometry

Structure (POSCAR):
```
YInTeI2
1.0
6.9540 0.0000 0.0000
0.0000 6.9540 0.0000
0.0000 0.0000 8.0348
Y In Te I
1 1 1 2
Cartesian
0.0000 0.0000 0.0000
3.4770 3.4770 4.0174
0.0000 0.0000 4.0174
0.0000 3.4770 0.0000
3.4770 0.0000 0.0000
```

Summary:
The symmetry is P4/mmm, No. 123.

=====

11.
Material: YInTeI2
Method: DFT, PBE
State: optimized geometry

Structure (POSCAR):
```
YInTeI2
1.0
5.8305 0.0000 0.0000
0.0000 5.8305 0.0000
0.0000 0.0000 6.0486
Y In Te I
1 1 1 2
Cartesian
0.0000 0.0000 0.0000
2.9153 2.9153 3.0243
2.9153 2.9153 0.0000
0.0000 2.9153 3.0243
2.9153 0.0000 3.0243
```

Summary:
The symmetry is P4/mmm, No. 123.

=====

12.
Material: ZnInTe2I
Method: DFT, PBE
State: optimized geometry

Structure (POSCAR):
```
ZnInTe2I
1.0
5.3290 0.0000 0.0000
0.0000 5.3290 0.0000
0.0000 0.0000 5.9234
Zn In Te I
1 1 2 1
Cartesian
0.0000 0.0000 0.0000
2.6645 2.6645 2.9617
0.0000 2.6645 0.0000
2.6645 0.0000 0.0000
0.0000 0.0000 2.9617
```

Summary:
The excess energy over the best structure of this formula in the dataset comes out at 0 meV/atom. The symmetry is P4/mmm, No. 123.

=====

In order of appearance, VASP energy = -15.685 -20.027 -11.998 -12.557 -13.179 -15.193 -18.074 -16.334 -21.593 -15.629 -15.625 -11.575 eV/cell.